{"formula": "GaHW2", "functional": "PBE", "state": "relaxed", "cell": [[-1.892, -3.134, 2.101], [-2.852, 0.880, 2.985], [-4.084, -0.828, -0.673]], "species": ["W", "Ga", "W", "H"], "fractional_positions": [[0.250, 0.250, 0.250], [0.500, 0.500, 0.500], [0.750, 0.750, 0.750], [0.000, 0.000, 0.000]], "relative_energy_mev_per_atom": 563.3, "sg": "No. 225"}


{"formula": "InHPd3", "functional": "PBE", "state": "relaxed", "cell": [[-3.951, 2.325, 1.207], [-2.745, -2.330, -4.507], [-0.029, -2.693, 5.102]], "species": ["Pd", "Pd", "Pd", "In", "H", "Pd", "In", "Pd", "H", "Pd"], "fractional_positions": [[0.075, 0.962, 0.583], [0.575, 0.131, 0.921], [0.575, 0.624, 0.414], [0.073, 0.460, 0.085], [0.245, 0.793, 0.752], [0.075, 0.962, 0.090], [0.573, 0.126, 0.418], [0.075, 0.455, 0.583], [0.745, 0.793, 0.751], [0.575, 0.624, 0.920]], "relative_energy_mev_per_atom": 53.7, "sg": "No. 186"}


{"formula": "CsTi2Mo", "functional": "PBE", "state": "relaxed", "cell": [[-1.538, -2.635, 3.764], [-4.742, -0.360, 0.929], [-2.306, -4.193, -0.760]], "species": ["Ti", "Cs", "Ti", "Mo"], "fractional_positions": [[0.250, 0.250, 0.250], [0.500, 0.500, 0.500], [0.750, 0.750, 0.750], [0.000, 0.000, 0.000]], "delta_e_f_ev_per_atom": 1.3987, "sg": "No. 225"}


{"formula": "AcTb2TmS6", "functional": "PBE", "state": "relaxed", "cell": [[7.071, 0.000, 0.001], [3.535, 6.123, 0.000], [3.535, 2.041, 6.221]], "species": ["S", "S", "Tm", "S", "Ac", "Tb", "S", "Tb", "S", "S"], "fractional_positions": [[0.227, 0.921, 0.244], [0.155, 0.376, 0.748], [0.318, 0.318, 0.047], [0.921, 0.609, 0.244], [0.802, 0.802, 0.592], [0.521, 0.521, 0.438], [0.376, 0.722, 0.748], [0.012, 0.012, 0.963], [0.609, 0.227, 0.244], [0.722, 0.155, 0.748]], "sg": "No. 146", "raw_formation_energy_ev_per_atom": -2.070}